# Y2Ta2Al

A relaxed structure of Y2Ta2Al (GGA-PBE, Alexandria).

Cell lengths 4.141, 4.141, 7.667 Å; angles 74.33, 74.33, 90.00 degrees
Fractional positions:
Y: 0.750 0.250 0.500
Ta: 0.417 0.417 0.166
Y: 0.250 0.750 0.500
Al: 0.000 0.000 0.000
Ta: 0.583 0.583 0.834

## Properties
Its energy above the most stable polymorph in this dataset is 3.78 eV/f.u. Its total magnetic moment is 0.00 μB per atom. The value obtained for the formation enthalpy at 0 K is 0.96 eV/atom. Its symmetry is I4/mmm.

# Ag7Hg2Pd2

A relaxed structure of Ag7Hg2Pd2 (GGA-PBE, Alexandria).

Cell lengths 5.112, 6.693, 6.693 Å; angles 92.26, 106.56, 106.56 degrees
Fractional positions:
Ag: 0.336 0.588 0.080
Ag: 0.664 0.412 0.920
Ag: 0.700 0.408 0.408
Pd: 0.000 0.233 0.767
Ag: 0.500 0.000 0.000
Ag: 0.336 0.080 0.588
Pd: 0.000 0.767 0.233
Hg: 0.917 0.794 0.794
Hg: 0.083 0.206 0.206
Ag: 0.664 0.920 0.412
Ag: 0.300 0.592 0.592

## Properties
Its total magnetic moment is 0.00 μB per atom. The value obtained for the formation enthalpy at 0 K is 0.07 eV/atom. Its symmetry is C2/m.

Question: What is the formula in the first record?
Answer: Y2Ta2Al